No. 1
The following is a DFT calculation (GGA-PBE) of a relaxed RbMnCoSe3 crystal.

Properties
Crystal system: monoclinic
N(E_F) (states/eV/f.u.): 3.36
Total DFT energy (no corrections) (eV per atom): -5.17
ΔE_f (raw) (meV per atom): -556

CIF file:
```
data_RbMnCoSe3
_chemical_formula_sum 'Rb2 Mn2 Co2 Se6'
_space_group_name_H-M_alt 'P 1 21/m 1'
_space_group_IT_number 11
_cell_length_a 8.8560
_cell_length_b 3.7146
_cell_length_c 9.6593
_cell_angle_alpha 90.00
_cell_angle_beta 115.78
_cell_angle_gamma 90.00
loop_
_space_group_symop_operation_xyz
'x,y,z'
'-x,-y,-z'
'-x,y+1/2,-z'
'x,-y+1/2,z'
loop_
_atom_site_label
_atom_site_type_symbol
_atom_site_fract_x
_atom_site_fract_y
_atom_site_fract_z
Rb1 Rb 0.2323 0.2500 0.2589
Mn1 Mn 0.3148 0.7500 0.8451
Co1 Co 0.0799 0.2500 0.6025
Se1 Se 0.1335 0.2500 0.8621
Se2 Se 0.2101 0.7500 0.5579
Se3 Se 0.4821 0.7500 0.1362
```

---

No. 2
The following is a DFT calculation (GGA-PBE) of a relaxed PrAlTlHg crystal.

Properties
Crystal system: cubic
N(E_F) (states/eV/f.u.): 4.08
Total DFT energy (no corrections) (eV per atom): -2.95

CIF file:
```
data_PrAlTlHg
_chemical_formula_sum 'Pr4 Al4 Tl4 Hg4'
_space_group_name_H-M_alt 'F -4 3 m'
_space_group_IT_number 216
_space_group_name_Hall 'F -4 2 3'
_cell_length_a 7.4351
_cell_length_b 7.4351
_cell_length_c 7.4351
_cell_angle_alpha 90.00
_cell_angle_beta 90.00
_cell_angle_gamma 90.00
loop_
_atom_site_label
_atom_site_type_symbol
_atom_site_fract_x
_atom_site_fract_y
_atom_site_fract_z
Pr1 Pr 0.0000 0.0000 0.0000
Al1 Al 0.0000 0.0000 0.5000
Tl1 Tl 0.2500 0.2500 0.2500
Hg1 Hg 0.2500 0.2500 0.7500
```

---

No. 3
The following is a DFT calculation (GGA-PBE) of a relaxed KRhSe2 crystal.

Properties
Crystal system: orthorhombic
N(E_F) (states/eV/f.u.): 1.89
Total DFT energy (no corrections) (eV per atom): -4.23
ΔE_f (raw) (meV per atom): -375

CIF file:
```
data_KRhSe2
_chemical_formula_sum 'K4 Rh4 Se8'
_space_group_name_H-M_alt 'C m c m'
_space_group_IT_number 63
_space_group_name_Hall '-C 2c 2'
_cell_length_a 3.0342
_cell_length_b 22.4995
_cell_length_c 5.2909
_cell_angle_alpha 90.00
_cell_angle_beta 90.00
_cell_angle_gamma 90.00
loop_
_atom_site_label
_atom_site_type_symbol
_atom_site_fract_x
_atom_site_fract_y
_atom_site_fract_z
K1 K 0.0000 0.1747 0.2500
Rh1 Rh 0.0000 0.4357 0.2500
Se1 Se 0.0000 0.3259 0.2500
Se2 Se 0.0000 0.4573 0.7500
```

---

No. 4
The following is a DFT calculation (GGA-PBE) of a relaxed NaMnAlCl6 crystal.

Properties
Crystal system: trigonal
N(E_F) (states/eV/f.u.): 7.91
Total DFT energy (no corrections) (eV per atom): -4.01
ΔE_f (raw) (meV per atom): -1200

CIF file:
```
data_NaMnAlCl6
_chemical_formula_sum 'Na2 Mn2 Al2 Cl12'
_space_group_name_H-M_alt 'P -3 1 c'
_space_group_IT_number 163
_space_group_name_Hall '-P 3 2c'
_cell_length_a 6.1090
_cell_length_b 6.1090
_cell_length_c 12.5052
_cell_angle_alpha 90.00
_cell_angle_beta 90.00
_cell_angle_gamma 120.00
loop_
_atom_site_label
_atom_site_type_symbol
_atom_site_fract_x
_atom_site_fract_y
_atom_site_fract_z
Na1 Na 0.0000 0.0000 0.0000
Mn1 Mn 0.3333 0.6667 0.2500
Al1 Al 0.3333 0.6667 0.7500
Cl1 Cl 0.0002 0.3673 0.1442
```

---

No. 5
The following is a DFT calculation (GGA-PBE) of a relaxed MgGa2Cu crystal.

Properties
Crystal system: tetragonal
N(E_F) (states/eV/f.u.): 1.49
Total DFT energy (no corrections) (eV per atom): -2.90

CIF file:
```
data_MgGa2Cu
_chemical_formula_sum 'Mg4 Ga8 Cu4'
_space_group_name_H-M_alt 'I -4 2 d'
_space_group_IT_number 122
_space_group_name_Hall 'I -4 2bw'
_cell_length_a 7.5438
_cell_length_b 7.5438
_cell_length_c 5.2655
_cell_angle_alpha 90.00
_cell_angle_beta 90.00
_cell_angle_gamma 90.00
loop_
_atom_site_label
_atom_site_type_symbol
_atom_site_fract_x
_atom_site_fract_y
_atom_site_fract_z
Mg1 Mg 0.0000 0.0000 0.0000
Ga1 Ga 0.1930 0.2500 0.6250
Cu1 Cu 0.0000 0.0000 0.5000
```

---

No. 6
The following is a DFT calculation (GGA-PBE) of a relaxed La2PrY3 crystal.

Properties
Crystal system: orthorhombic
N(E_F) (states/eV/f.u.): 10.29
Total DFT energy (no corrections) (eV per atom): -5.60

CIF file:
```
data_La2PrY3
_chemical_formula_sum 'La4 Pr2 Y6'
_space_group_name_H-M_alt 'P n n m'
_space_group_IT_number 58
_cell_length_a 7.1845
_cell_length_b 10.0259
_cell_length_c 5.7666
_cell_angle_alpha 90.00
_cell_angle_beta 90.00
_cell_angle_gamma 90.00
loop_
_space_group_symop_operation_xyz
'x,y,z'
'-x,-y,-z'
'-x,-y,z'
'x,y,-z'
'x+1/2,-y+1/2,-z+1/2'
'-x+1/2,y+1/2,z+1/2'
'-x+1/2,y+1/2,-z+1/2'
'x+1/2,-y+1/2,z+1/2'
loop_
_atom_site_label
_atom_site_type_symbol
_atom_site_fract_x
_atom_site_fract_y
_atom_site_fract_z
La1 La 0.2466 0.1667 0.0000
Pr1 Pr 0.0000 0.5000 0.0000
Y1 Y 0.0000 0.0000 0.5000
Y2 Y 0.2488 0.3328 0.5000
```

---

No. 7
The following is a DFT calculation (GGA-PBE) of a relaxed K2YP crystal.

Properties
Crystal system: trigonal
N(E_F) (states/eV/f.u.): 5.10
Total DFT energy (no corrections) (eV per atom): -3.09

CIF file:
```
data_K2YP
_chemical_formula_sum 'K6 Y3 P3'
_space_group_name_H-M_alt 'R -3 m'
_space_group_IT_number 166
_space_group_name_Hall '-R 3 2"'
_cell_length_a 3.5759
_cell_length_b 3.5759
_cell_length_c 37.2890
_cell_angle_alpha 90.00
_cell_angle_beta 90.00
_cell_angle_gamma 120.00
loop_
_atom_site_label
_atom_site_type_symbol
_atom_site_fract_x
_atom_site_fract_y
_atom_site_fract_z
K1 K 0.0000 0.0000 0.2314
Y1 Y 0.0000 0.0000 0.0000
P1 P 0.0000 0.0000 0.5000
```

---

No. 8
The following is a DFT calculation (GGA-PBE) of a relaxed CoB2MoIr crystal.

Properties
Crystal system: tetragonal
N(E_F) (states/eV/f.u.): 3.35
Total DFT energy (no corrections) (eV per atom): -6.98

CIF file:
```
data_CoB2MoIr
_chemical_formula_sum 'Co1 B2 Mo1 Ir1'
_space_group_name_H-M_alt 'P 4/m m m'
_space_group_IT_number 123
_space_group_name_Hall '-P 4 2'
_cell_length_a 3.7380
_cell_length_b 3.7380
_cell_length_c 4.6180
_cell_angle_alpha 90.00
_cell_angle_beta 90.00
_cell_angle_gamma 90.00
loop_
_atom_site_label
_atom_site_type_symbol
_atom_site_fract_x
_atom_site_fract_y
_atom_site_fract_z
Co1 Co 0.0000 0.0000 0.0000
B1 B 0.0000 0.5000 0.0000
Mo1 Mo 0.0000 0.0000 0.5000
Ir1 Ir 0.5000 0.5000 0.5000
```

---

No. 9
The following is a DFT calculation (GGA-PBE) of a relaxed NdThB2O8 crystal.

Properties
Crystal system: tetragonal
N(E_F) (states/eV/f.u.): 4.17
Total DFT energy (no corrections) (eV per atom): -7.88
ΔE_f (raw) (meV per atom): -2451

CIF file:
```
data_NdThB2O8
_chemical_formula_sum 'Nd2 Th2 B4 O16'
_space_group_name_H-M_alt 'I -4'
_space_group_IT_number 82
_cell_length_a 4.7661
_cell_length_b 4.7661
_cell_length_c 11.7279
_cell_angle_alpha 90.00
_cell_angle_beta 90.00
_cell_angle_gamma 90.00
loop_
_space_group_symop_operation_xyz
'x,y,z'
'y,-x,-z'
'-x,-y,z'
'-y,x,-z'
'x+1/2,y+1/2,z+1/2'
'y+1/2,-x+1/2,-z+1/2'
'-x+1/2,-y+1/2,z+1/2'
'-y+1/2,x+1/2,-z+1/2'
loop_
_atom_site_label
_atom_site_type_symbol
_atom_site_fract_x
_atom_site_fract_y
_atom_site_fract_z
Nd1 Nd 0.0000 0.0000 0.0000
Th1 Th 0.0000 0.5000 0.7500
B1 B 0.0000 0.0000 0.5000
B2 B 0.0000 0.5000 0.2500
O1 O 0.0906 0.2418 0.5700
O2 O 0.0965 0.7449 0.1834
```

---

No. 10
The following is a DFT calculation (GGA-PBE) of a relaxed Li2ScP2HO8 crystal.

Properties
Crystal system: monoclinic
N(E_F) (states/eV/f.u.): 0.00
Total DFT energy (no corrections) (eV per atom): -7.04

CIF file:
```
data_Li2ScP2HO8
_chemical_formula_sum 'Li4 Sc2 P4 H2 O16'
_space_group_name_H-M_alt 'P 1 21 1'
_space_group_IT_number 4
_cell_length_a 4.9033
_cell_length_b 8.2982
_cell_length_c 7.7559
_cell_angle_alpha 90.00
_cell_angle_beta 104.15
_cell_angle_gamma 90.00
loop_
_space_group_symop_operation_xyz
'x,y,z'
'-x,y+1/2,-z'
loop_
_atom_site_label
_atom_site_type_symbol
_atom_site_fract_x
_atom_site_fract_y
_atom_site_fract_z
Li1 Li 0.1294 0.0000 0.0914
Li2 Li 0.3548 0.7290 0.4115
Sc1 Sc 0.2473 0.3644 0.2537
P1 P 0.1146 0.0142 0.4747
P2 P 0.3883 0.7101 0.0197
H1 H 0.2765 0.3490 0.7605
O1 O 0.0053 0.4225 0.7014
O2 O 0.1067 0.5391 0.4150
O3 O 0.1493 0.8214 0.9197
O4 O 0.2347 0.1784 0.4317
O5 O 0.2656 0.5498 0.0670
O6 O 0.3584 0.9097 0.5860
O7 O 0.3883 0.1872 0.0868
O8 O 0.4817 0.2969 0.7959
```

---

Q: Which of these has the lowest total DFT energy (no corrections)?
A: NdThB2O8

---

Q: What is the total DFT energy (no corrections) in the second record?
A: -2.95 eV per atom